# 1
Compound: Nd2HoBe
Source: Alexandria via LeMat-Bulk
Functional: PBE
Structure: optimized geometry

Calculated values
**Calculated volume**: 27.6 Å³/atom
**Energy of formation from the pure elements**: 0.126 eV per atom
**Magnetization**: 0.000 μB/cell

Cell lengths 3.584, 3.584, 8.610 Å; angles 90.00, 90.00, 90.00 degrees
Space group P4/mmm (No. 123)
Symmetry-distinct sites (fractional):
Nd 0.000 0.000 0.199 (multiplicity 2)
Ho 0.500 0.500 0.500 (multiplicity 1)
Be 0.500 0.500 0.000 (multiplicity 1)

# 2
Compound: Te2PbN
Source: Alexandria via LeMat-Bulk
Functional: PBE
Structure: optimized geometry

Calculated values
**Distance to the lowest polymorph of the same formula**: 0.2407 eV/atom
**Calculated volume**: 23.4 Å³/atom
**ΔE_f (raw)**: 0.81 eV/atom
**Magnetization**: 0.000 μB/cell

Cell lengths 3.4704, 3.4704, 26.9573 Å; angles 90.00, 90.00, 120.00 degrees
Space group R-3m (No. 166, hexagonal axes)
Symmetry-distinct sites (fractional):
Te 0.0000 0.0000 0.2244 (multiplicity 6)
Pb 0.0000 0.0000 0.0000 (multiplicity 3)
N 0.0000 0.0000 0.5000 (multiplicity 3)

# 3
Compound: TiNb2C
Source: Alexandria via LeMat-Bulk
Functional: PBE
Structure: optimized geometry

Calculated values
**Calculated volume**: 15.7 Å³/atom
**Energy of formation from the pure elements**: 0.007 eV per atom
**Magnetization**: 0.000 μB/cell

Cell lengths 7.630, 7.630, 4.313 Å; angles 90.00, 90.00, 90.00 degrees
Space group I-42d (No. 122)
Symmetry-distinct sites (fractional):
Ti 0.000 0.000 0.000 (multiplicity 4)
Nb 0.128 0.250 0.625 (multiplicity 8)
C 0.000 0.000 0.500 (multiplicity 4)

# 4
Compound: K7Pb6
Source: Alexandria via LeMat-Bulk
Functional: PBE
Structure: optimized geometry

Calculated values
**Calculated volume**: 39.8 Å³/atom
**Energy of formation from the pure elements**: 0.161 eV per atom
**Magnetization**: 0.000 μB/cell

Cell lengths 7.2420, 7.2420, 34.1662 Å; angles 90.00, 90.00, 120.00 degrees
Space group R-3m (No. 166, hexagonal axes)
Symmetry-distinct sites (fractional):
K 0.0000 0.0000 0.0000 (multiplicity 3)
K 0.0198 0.5099 0.4138 (multiplicity 18)
Pb 0.0000 0.0000 0.1628 (multiplicity 6)
Pb 0.0000 0.0000 0.3576 (multiplicity 6)
Pb 0.0000 0.0000 0.4534 (multiplicity 6)

# 5
Compound: ScAsPb2
Source: Alexandria via LeMat-Bulk
Functional: PBE
Structure: optimized geometry

Calculated values
**Calculated volume**: 27.4 Å³/atom
**Energy of formation from the pure elements**: -0.384 eV per atom
**Magnetization**: 0.000 μB/cell

Cell lengths 3.710, 3.710, 7.956 Å; angles 90.00, 90.00, 90.00 degrees
Space group P4mm (No. 99)
Symmetry-distinct sites (fractional):
Sc 0.000 0.000 0.000 (multiplicity 1)
As 0.500 0.500 0.066 (multiplicity 1)
Pb 0.000 0.000 0.401 (multiplicity 1)
Pb 0.500 0.500 0.675 (multiplicity 1)

# 6
Compound: BaSc2Al
Source: Alexandria via LeMat-Bulk
Functional: PBE
Structure: optimized geometry

Calculated values
**Calculated volume**: 27.6 Å³/atom
**Energy of formation from the pure elements**: 0.219 eV per atom
**Magnetization**: 0.530 μB/cell

Cell lengths 4.818, 4.818, 4.758 Å; angles 90.00, 90.00, 90.00 degrees
Space group P4/mmm (No. 123)
Symmetry-distinct sites (fractional):
Ba 0.000 0.000 0.000 (multiplicity 1)
Sc 0.000 0.500 0.500 (multiplicity 2)
Al 0.500 0.500 0.000 (multiplicity 1)

# 7
Compound: Mg6CdAg
Source: Alexandria via LeMat-Bulk
Functional: PBE
Structure: optimized geometry

Calculated values
**Distance to the lowest polymorph of the same formula**: 0.0000 eV/atom
**Calculated volume**: 21.1 Å³/atom
**Energy of formation from the pure elements**: -0.106 eV per atom
**Magnetization**: 0.000 μB/cell

Cell lengths 6.1830, 6.1830, 5.0882 Å; angles 90.00, 90.00, 120.00 degrees
Space group P-6m2 (No. 187)
Symmetry-distinct sites (fractional):
Mg 0.0015 0.5008 0.0000 (multiplicity 3)
Mg 0.3272 0.1636 0.5000 (multiplicity 3)
Cd 0.3333 0.6667 0.5000 (multiplicity 1)
Ag 0.0000 0.0000 0.0000 (multiplicity 1)